Entry 1:
Nb4VSn2 after structural relaxation. Source: Alexandria via LeMat-Bulk, functional PBE-GGA.

The space-group type is R-3m, No. 166. For the total energy, the calculation gives -8.277 eV/atom. For the formation enthalpy at 0 K, the calculation gives -76.5 meV/atom. The value obtained for the density of states at the Fermi level is 0.709 states/eV per atom.

Structure (CIF):
```
data_Nb4VSn2
_chemical_formula_sum 'Nb4 V1 Sn2'
_cell_length_a 7.2063
_cell_length_b 7.2063
_cell_length_c 7.2063
_cell_angle_alpha 38.59
_cell_angle_beta 38.59
_cell_angle_gamma 38.59
_symmetry_space_group_name_H-M 'P 1'
_symmetry_Int_Tables_number 1
loop_
_symmetry_equiv_pos_as_xyz
'x,y,z'
loop_
_atom_site_label
_atom_site_type_symbol
_atom_site_fract_x
_atom_site_fract_y
_atom_site_fract_z
Nb1 Nb 0.0687 0.0687 0.0687
Nb2 Nb 0.3664 0.3664 0.3664
Nb3 Nb 0.6336 0.6336 0.6336
Nb4 Nb 0.9313 0.9313 0.9313
V1 V 0.5000 0.5000 0.5000
Sn1 Sn 0.2205 0.2205 0.2205
Sn2 Sn 0.7795 0.7795 0.7795
```

***

Entry 2:
NbVSn2 after structural relaxation. Source: Alexandria via LeMat-Bulk, functional PBE-GGA.

The space-group type is R-3m, No. 166. The energy above the most stable polymorph in this dataset comes out at 0.2516 eV per atom. For the total energy, the calculation gives -6.345 eV/atom. For the formation enthalpy at 0 K, the calculation gives 453.5 meV/atom. The value obtained for the density of states at the Fermi level is 0.889 states/eV per atom.

Structure (CIF):
```
data_NbVSn2
_chemical_formula_sum 'Nb1 V1 Sn2'
_cell_length_a 10.4348
_cell_length_b 10.4348
_cell_length_c 10.4348
_cell_angle_alpha 16.80
_cell_angle_beta 16.80
_cell_angle_gamma 16.80
_symmetry_space_group_name_H-M 'P 1'
_symmetry_Int_Tables_number 1
loop_
_symmetry_equiv_pos_as_xyz
'x,y,z'
loop_
_atom_site_label
_atom_site_type_symbol
_atom_site_fract_x
_atom_site_fract_y
_atom_site_fract_z
Nb1 Nb 0.0000 0.0000 0.0000
V1 V 0.5000 0.5000 0.5000
Sn1 Sn 0.0938 0.0938 0.0938
Sn2 Sn 0.9062 0.9062 0.9062
```

***

Entry 3:
NbV2Sn after structural relaxation. Source: Alexandria via LeMat-Bulk, functional PBE-GGA.

The space-group type is P4/mmm, No. 123. For the total energy, the calculation gives -8.133 eV/atom. For the formation enthalpy at 0 K, the calculation gives -55.5 meV/atom. The value obtained for the density of states at the Fermi level is 1.234 states/eV per atom.

Structure (CIF):
```
data_NbV2Sn
_chemical_formula_sum 'Nb1 V2 Sn1'
_cell_length_a 4.3270
_cell_length_b 4.3270
_cell_length_c 3.5126
_cell_angle_alpha 90.00
_cell_angle_beta 90.00
_cell_angle_gamma 90.00
_symmetry_space_group_name_H-M 'P 1'
_symmetry_Int_Tables_number 1
loop_
_symmetry_equiv_pos_as_xyz
'x,y,z'
loop_
_atom_site_label
_atom_site_type_symbol
_atom_site_fract_x
_atom_site_fract_y
_atom_site_fract_z
Nb1 Nb 0.0000 0.0000 0.0000
V1 V 0.0000 0.5000 0.5000
V2 V 0.5000 0.0000 0.5000
Sn1 Sn 0.5000 0.5000 0.0000
```

***

Entry 4:
Nb12VSn6 after structural relaxation. Source: Alexandria via LeMat-Bulk, functional PBE-GGA.

The space-group type is R-3, No. 148. For the total energy, the calculation gives -8.074 eV/atom. For the formation enthalpy at 0 K, the calculation gives 29.6 meV/atom. The value obtained for the density of states at the Fermi level is 0.827 states/eV per atom.

Structure (CIF):
```
data_Nb12VSn6
_chemical_formula_sum 'Nb12 V1 Sn6'
_cell_length_a 7.1721
_cell_length_b 7.1721
_cell_length_c 7.1721
_cell_angle_alpha 90.75
_cell_angle_beta 90.75
_cell_angle_gamma 90.75
_symmetry_space_group_name_H-M 'P 1'
_symmetry_Int_Tables_number 1
loop_
_symmetry_equiv_pos_as_xyz
'x,y,z'
loop_
_atom_site_label
_atom_site_type_symbol
_atom_site_fract_x
_atom_site_fract_y
_atom_site_fract_z
Nb1 Nb 0.0161 0.3084 0.9329
Nb2 Nb 0.0671 0.9839 0.6916
Nb3 Nb 0.1305 0.3609 0.4420
Nb4 Nb 0.3084 0.9329 0.0161
Nb5 Nb 0.3609 0.4420 0.1305
Nb6 Nb 0.4420 0.1305 0.3609
Nb7 Nb 0.5580 0.8695 0.6391
Nb8 Nb 0.6391 0.5580 0.8695
Nb9 Nb 0.6916 0.0671 0.9839
Nb10 Nb 0.8695 0.6391 0.5580
Nb11 Nb 0.9329 0.0161 0.3084
Nb12 Nb 0.9839 0.6916 0.0671
V1 V 0.5000 0.5000 0.5000
Sn1 Sn 0.2278 0.7627 0.3789
Sn2 Sn 0.2373 0.6211 0.7722
Sn3 Sn 0.3789 0.2278 0.7627
Sn4 Sn 0.6211 0.7722 0.2373
Sn5 Sn 0.7627 0.3789 0.2278
Sn6 Sn 0.7722 0.2373 0.6211
```

***

Entry 5:
Nb12VSn3 after structural relaxation. Source: Alexandria via LeMat-Bulk, functional PBE-GGA.

The space-group type is Pmmm, No. 47. For the total energy, the calculation gives -9.026 eV/atom. For the formation enthalpy at 0 K, the calculation gives -153.7 meV/atom. The value obtained for the density of states at the Fermi level is 1.231 states/eV per atom.

Structure (CIF):
```
data_Nb12VSn3
_chemical_formula_sum 'Nb12 V1 Sn3'
_cell_length_a 5.2930
_cell_length_b 5.3099
_cell_length_c 10.5670
_cell_angle_alpha 90.00
_cell_angle_beta 90.00
_cell_angle_gamma 90.00
_symmetry_space_group_name_H-M 'P 1'
_symmetry_Int_Tables_number 1
loop_
_symmetry_equiv_pos_as_xyz
'x,y,z'
loop_
_atom_site_label
_atom_site_type_symbol
_atom_site_fract_x
_atom_site_fract_y
_atom_site_fract_z
Nb1 Nb 0.0000 0.0000 0.1191
Nb2 Nb 0.0000 0.0000 0.3721
Nb3 Nb 0.0000 0.0000 0.6279
Nb4 Nb 0.0000 0.0000 0.8809
Nb5 Nb 0.2489 0.5000 0.5000
Nb6 Nb 0.2588 0.5000 0.0000
Nb7 Nb 0.5000 0.2433 0.2411
Nb8 Nb 0.5000 0.2433 0.7589
Nb9 Nb 0.5000 0.7567 0.2411
Nb10 Nb 0.5000 0.7567 0.7589
Nb11 Nb 0.7412 0.5000 0.0000
Nb12 Nb 0.7511 0.5000 0.5000
V1 V 0.5000 0.0000 0.0000
Sn1 Sn 0.0000 0.5000 0.2499
Sn2 Sn 0.0000 0.5000 0.7501
Sn3 Sn 0.5000 0.0000 0.5000
```

***

Entry 6:
Nb3VSn after structural relaxation. Source: Alexandria via LeMat-Bulk, functional PBE-GGA.

The space-group type is Pm-3m, No. 221. The energy above the most stable polymorph in this dataset comes out at 0.7683 eV per atom. For the total energy, the calculation gives -7.944 eV/atom. For the formation enthalpy at 0 K, the calculation gives 722.2 meV/atom. The value obtained for the density of states at the Fermi level is 0.688 states/eV per atom.

Structure (CIF):
```
data_Nb3VSn
_chemical_formula_sum 'Nb3 V1 Sn1'
_cell_length_a 4.6801
_cell_length_b 4.6801
_cell_length_c 4.6801
_cell_angle_alpha 90.00
_cell_angle_beta 90.00
_cell_angle_gamma 90.00
_symmetry_space_group_name_H-M 'P 1'
_symmetry_Int_Tables_number 1
loop_
_symmetry_equiv_pos_as_xyz
'x,y,z'
loop_
_atom_site_label
_atom_site_type_symbol
_atom_site_fract_x
_atom_site_fract_y
_atom_site_fract_z
Nb1 Nb 0.0000 0.0000 0.5000
Nb2 Nb 0.0000 0.5000 0.0000
Nb3 Nb 0.5000 0.0000 0.0000
V1 V 0.0000 0.0000 0.0000
Sn1 Sn 0.5000 0.5000 0.5000
```